No. 1
# KSbAs3 GGA-PBE relaxed
data_KSbAs3
_chemical_formula_sum 'K1 Sb1 As3'
_cell_length_a 5.4201
_cell_length_b 5.4201
_cell_length_c 5.4201
_cell_angle_alpha 90.00
_cell_angle_beta 90.00
_cell_angle_gamma 90.00
_symmetry_space_group_name_H-M 'P 1'
_symmetry_Int_Tables_number 1
loop_
_symmetry_equiv_pos_as_xyz
'x,y,z'
loop_
_atom_site_label
_atom_site_fract_x
_atom_site_fract_y
_atom_site_fract_z
_atom_site_occupancy
K1 0.0000 0.0000 0.0000 1
Sb1 0.5000 0.5000 0.5000 1
As1 0.0000 0.5000 0.5000 1
As2 0.5000 0.0000 0.5000 1
As3 0.5000 0.5000 0.0000 1
# Energy above the most stable polymorph in this dataset = 549.3 meV/atom
# Formation energy without anion corrections = 0.452 eV per atom



No. 2
# FeHg2Pb GGA-PBE relaxed
data_FeHg2Pb
_chemical_formula_sum 'Fe1 Hg2 Pb1'
_cell_length_a 3.2115
_cell_length_b 5.2043
_cell_length_c 5.5219
_cell_angle_alpha 90.00
_cell_angle_beta 90.00
_cell_angle_gamma 90.00
_symmetry_space_group_name_H-M 'P 1'
_symmetry_Int_Tables_number 1
loop_
_symmetry_equiv_pos_as_xyz
'x,y,z'
loop_
_atom_site_label
_atom_site_fract_x
_atom_site_fract_y
_atom_site_fract_z
_atom_site_occupancy
Fe1 0.0000 0.0000 0.0000 1
Hg1 0.0000 0.5000 0.5000 1
Hg2 0.5000 0.0000 0.5000 1
Pb1 0.5000 0.5000 0.0000 1
# Formation energy = 0.49 eV per atom



Total magnetization readings, ordered: 0.000 0.782 μB/atom
Calculated total energy readings, ordered: -3.38 -2.71 eV/atom